No. 1
DFT (PBE) results for a geometry-optimized Sr2DyRuO6 structure.

Cell: 5.8113 5.8790 8.2494 Å, 90.00 90.37 90.00°
Element x y z (fractional)
Ru1 0.5000 0.0000 0.5000
Ru2 0.0000 0.5000 0.0000
O1 0.7289 0.3012 0.9612
O2 0.1959 0.2277 0.0411
O3 0.3041 0.7277 0.4589
O4 0.2711 0.6988 0.0388
O5 0.7711 0.8012 0.5388
O6 0.2289 0.1988 0.4612
O7 0.5751 0.0201 0.2660
O8 0.8041 0.7723 0.9589
O9 0.4249 0.9799 0.7340
O10 0.9249 0.5201 0.2340
O11 0.6959 0.2723 0.5411
O12 0.0751 0.4799 0.7660
Dy1 0.5000 0.0000 0.0000
Dy2 0.0000 0.5000 0.5000
Sr1 0.5086 0.5371 0.7495
Sr2 0.0086 0.9629 0.2495
Sr3 0.9914 0.0371 0.7505
Sr4 0.4914 0.4629 0.2505

Computed properties:
As for the crystal system: monoclinic. As for the space group: No. 14.

---

No. 2
DFT (PBE) results for a geometry-optimized SrDy2RuO8 structure.

Cell: 5.0771 5.0650 7.0080 Å, 90.00 90.00 89.47°
Element x y z (fractional)
O1 0.1845 0.8132 0.8097
O2 0.7303 0.7321 0.0000
O3 0.3246 0.3216 0.5000
O4 0.8154 0.1868 0.8097
O5 0.6754 0.6784 0.5000
O6 0.8155 0.1868 0.1903
O7 0.1846 0.8132 0.1903
O8 0.2697 0.2679 0.0000
Ru1 0.0000 0.0000 0.0000
Sr1 0.0000 0.0000 0.5000
Dy1 0.5000 0.5000 0.2504
Dy2 0.5000 0.5000 0.7496

Computed properties:
As for the crystal system: monoclinic. As for the space group: No. 10.

---

No. 3
DFT (PBE) results for a geometry-optimized DyTl2RuO6 structure.

Cell: 5.7303 6.2841 6.2841 Å, 120.00 90.00 90.00°
Element x y z (fractional)
O1 0.2045 0.8581 0.1419
O2 0.7955 0.7162 0.8581
O3 0.7955 0.1419 0.2838
O4 0.2045 0.8581 0.7162
O5 0.2045 0.2838 0.1419
O6 0.7955 0.1419 0.8581
Tl1 0.0130 0.3333 0.6667
Tl2 0.9870 0.6667 0.3333
Ru1 0.0000 0.0000 0.0000
Dy1 0.5000 0.0000 0.0000

Computed properties:
As for the crystal system: trigonal. As for the space group: No. 164.

---

Number 1: formation energy without anion corrections -2.44 eV/atom. Number 2: formation energy without anion corrections -2.10 eV/atom. Number 3: formation energy without anion corrections -1.29 eV/atom.